Ba2PaBr8 | Alexandria | PBE-GGA | optimized geometry; formation energy from raw total energies = -1808.9 meV per atom; total moment = 1.01 μB per formula unit; DFT total energy = -4.238 eV per atom; symmetry = C2/m
1.0
-3.106 -6.289 0.215
7.215 -3.568 -0.136
2.068 3.180 8.376
Ba Br Pa
2 8 1
Direct
0.861 0.541 0.723
0.139 0.459 0.277
0.314 0.562 0.628
0.727 0.268 0.964
0.763 0.732 0.036
0.273 0.732 0.036
0.686 0.438 0.372
0.163 0.048 0.326
0.837 0.952 0.674
0.237 0.268 0.964
0.000 0.000 0.000

---

SnAs2AuN | Alexandria | PBE-GGA | optimized geometry; formation energy from raw total energies = 626.4 meV per atom; total moment = 0.00 μB per formula unit; DFT total energy = -4.354 eV per atom; symmetry = P4/mmm
1.0
-1.090 -1.871 -3.848
4.209 -2.032 -0.204
-1.589 -3.510 2.157
As Sn Au N
2 1 1 1
Direct
0.500 0.000 0.000
0.000 0.000 0.500
0.000 0.500 0.000
0.500 0.500 0.500
0.000 0.000 0.000

---

Ce2PuPaSe4 | Alexandria | PBE-GGA | optimized geometry; formation energy from raw total energies = -1582.9 meV per atom; total moment = 7.65 μB per formula unit; DFT total energy = -7.787 eV per atom; symmetry = P2/m
1.0
4.136 0.000 0.000
0.000 7.200 0.134
0.000 -2.506 6.716
Ce Pu Se Pa
2 1 4 1
Direct
0.500 0.000 0.500
0.000 0.500 0.500
0.000 0.000 0.000
0.500 0.752 0.758
0.500 0.248 0.242
0.000 0.252 0.757
0.000 0.748 0.243
0.500 0.500 0.000

---

no.,DOS(E_F) (states/eV/cell)
1,0.86
2,1.60
3,21.41